[1]
Compound: HfVC3
Source: the Alexandria database
Functional: PBE
Structure: optimized geometry

a = 4.201 Å, b = 4.201 Å, c = 4.201 Å
α = 90.00°, β = 90.00°, γ = 90.00°
Fractional coordinates of all 5 atoms:
Hf  0.000  0.000  0.000
V  0.500  0.500  0.500
C  0.000  0.000  0.500
C  0.000  0.500  0.000
C  0.500  0.000  0.000

DOS at the Fermi energy: 4.367 states/eV per cell
formation enthalpy at 0 K: 2.023 eV/atom
polymorph energy (0 for the lowest one): 1.078 eV/atom
crystal system: cubic

---

[2]
Compound: HfVC
Source: the Alexandria database
Functional: PBE
Structure: optimized geometry

a = 3.152 Å, b = 4.019 Å, c = 6.599 Å
α = 90.00°, β = 90.00°, γ = 90.00°
Fractional coordinates of all 6 atoms:
Hf  0.250  0.250  0.142
Hf  0.750  0.750  0.858
V  0.250  0.250  0.588
V  0.750  0.750  0.412
C  0.250  0.750  0.617
C  0.750  0.250  0.383

DOS at the Fermi energy: 4.609 states/eV per cell
formation enthalpy at 0 K: -0.489 eV/atom
crystal system: orthorhombic

---

[3]
Compound: HfV2C
Source: the Alexandria database
Functional: PBE
Structure: optimized geometry

a = 3.182 Å, b = 9.160 Å, c = 7.000 Å
α = 90.00°, β = 90.00°, γ = 90.00°
Fractional coordinates of all 16 atoms:
Hf  0.000  0.046  0.250
Hf  0.000  0.954  0.750
Hf  0.500  0.454  0.750
Hf  0.500  0.546  0.250
V  0.000  0.340  0.060
V  0.000  0.340  0.440
V  0.000  0.660  0.560
V  0.000  0.660  0.940
V  0.500  0.160  0.560
V  0.500  0.160  0.940
V  0.500  0.840  0.060
V  0.500  0.840  0.440
C  0.000  0.238  0.750
C  0.000  0.762  0.250
C  0.500  0.262  0.250
C  0.500  0.738  0.750

DOS at the Fermi energy: 12.459 states/eV per cell
formation enthalpy at 0 K: -0.320 eV/atom
polymorph energy (0 for the lowest one): 0.000 eV/atom
crystal system: orthorhombic

---

[4]
Compound: Hf2VC
Source: the Alexandria database
Functional: PBE
Structure: optimized geometry

a = 8.304 Å, b = 8.304 Å, c = 3.965 Å
α = 90.00°, β = 90.00°, γ = 90.00°
Fractional coordinates of all 16 atoms:
Hf  0.103  0.250  0.125
Hf  0.250  0.603  0.375
Hf  0.250  0.897  0.875
Hf  0.397  0.250  0.625
Hf  0.603  0.750  0.625
Hf  0.750  0.103  0.875
Hf  0.750  0.397  0.375
Hf  0.897  0.750  0.125
V  0.000  0.000  0.500
V  0.000  0.500  0.750
V  0.500  0.000  0.250
V  0.500  0.500  0.000
C  0.000  0.000  0.000
C  0.000  0.500  0.250
C  0.500  0.000  0.750
C  0.500  0.500  0.500

DOS at the Fermi energy: 15.506 states/eV per cell
formation enthalpy at 0 K: 0.012 eV/atom
polymorph energy (0 for the lowest one): 0.000 eV/atom
crystal system: tetragonal

---

Q: What is the formula in the second record?
A: HfVC

---

Q: What is the DOS at the Fermi energy in the third record?
A: 12.459 states/eV per cell

---

Q: Which of these has the lowest formation enthalpy at 0 K?
A: HfVC